1.
VASP calculation (PBE) on La6CoOs2 after structural relaxation.

The structure in POSCAR format:
```
La6CoOs2
1.0
4.179 0.000 -0.957
-0.289 7.646 -1.262
-0.191 0.681 8.763
Co La Os
1 6 2
Direct
0.500 0.000 0.000
0.997 0.761 0.993
0.664 0.078 0.328
0.336 0.922 0.672
0.333 0.432 0.666
0.667 0.568 0.334
0.003 0.239 0.007
0.167 0.319 0.334
0.833 0.681 0.666
```

As for the space group: C2/m. As for the raw total energy: -6.68 eV per atom. The total magnetization is 0.0 Bohr magnetons per cell. The density is 7.5 g cm⁻³. Its density of states at the Fermi level is 6.10 states/eV per cell.

***

2.
VASP calculation (PBE) on Pm3ErZn4 after structural relaxation.

The structure in POSCAR format:
```
Pm3ErZn4
1.0
4.911 0.000 1.450
2.241 4.369 1.450
0.037 0.022 8.918
Zn Er Pm
4 1 3
Direct
0.877 0.877 0.370
0.374 0.374 0.879
0.123 0.123 0.630
0.626 0.626 0.121
0.000 0.000 0.000
0.251 0.251 0.246
0.500 0.500 0.500
0.749 0.749 0.754
```

As for the space group: R-3m. As for the raw total energy: -3.31 eV per atom. The total magnetization is 0.0 Bohr magnetons per cell. The density is 7.5 g cm⁻³. Its density of states at the Fermi level is 8.82 states/eV per cell.